## Pm3Nd2Ho (PBE-GGA)

Data for a relaxed Pm3Nd2Ho crystal.

a b c (Å): 6.789 17.916 3.427
angles (deg): 90.00 90.00 90.00
Space group Pnnm (No. 58)
One atom of each set of equivalent atoms:
Pm: 0.000 0.000 0.000
Pm: 0.242 0.321 0.000
Nd: 0.236 0.150 0.500
Ho: 0.000 0.500 0.000

Output
Energy of formation, eV/f.u.: 1.48
E above lowest polymorph, kJ/mol of atoms: 9.6